! HgBr2N | the Alexandria database | meta-GGA SCAN | single point on PBEsol structure; values from VASP
&SYSTEM
  ibrav = 0, nat = 8, ntyp = 3
/
ATOMIC_SPECIES
Hg 200.59 Hg.upf
Br 79.90 Br.upf
N 14.01 N.upf
ATOMIC_POSITIONS angstrom
Hg 1.1899 1.1899 1.1899
Hg 8.3293 8.3293 8.3293
Br 4.7596 2.3798 2.3798
Br 2.3798 4.7596 2.3798
Br 2.3798 2.3798 4.7596
Br 4.7596 4.7596 4.7596
N 3.5697 3.5697 3.5697
N 5.9495 5.9495 5.9495
CELL_PARAMETERS angstrom
0.0000 4.7596 4.7596
4.7596 0.0000 4.7596
4.7596 4.7596 0.0000
! Formation energy (no corrections)   3.06 eV per formula unit

! HgBrN2 | the Alexandria database | meta-GGA SCAN | single point on PBEsol structure; values from VASP
&SYSTEM
  ibrav = 0, nat = 4, ntyp = 3
/
ATOMIC_SPECIES
Hg 200.59 Hg.upf
Br 79.90 Br.upf
N 14.01 N.upf
ATOMIC_POSITIONS angstrom
Hg 0.0000 0.0000 0.0000
Br 0.0000 0.0000 9.1255
N 0.0000 0.0000 7.1151
N 0.0000 0.0000 11.1359
CELL_PARAMETERS angstrom
1.7376 1.0032 6.0837
-1.7376 1.0032 6.0837
0.0000 -2.0064 6.0837
! Formation energy (no corrections)   6.22 eV per formula unit

! NaHg2Br | the Alexandria database | meta-GGA SCAN | single point on PBEsol structure; values from VASP
&SYSTEM
  ibrav = 0, nat = 4, ntyp = 3
/
ATOMIC_SPECIES
Na 22.99 Na.upf
Hg 200.59 Hg.upf
Br 79.90 Br.upf
ATOMIC_POSITIONS angstrom
Na 0.0000 0.0000 0.0000
Hg 1.9182 1.9182 1.9182
Hg 5.7547 5.7547 5.7547
Br 3.8365 3.8365 3.8365
CELL_PARAMETERS angstrom
0.0000 3.8365 3.8365
3.8365 0.0000 3.8365
3.8365 3.8365 0.0000
! Formation energy (no corrections)   -1.97 eV per formula unit

! NbHgBr2 | the Alexandria database | meta-GGA SCAN | single point on PBEsol structure; values from VASP
&SYSTEM
  ibrav = 0, nat = 4, ntyp = 3
/
ATOMIC_SPECIES
Nb 92.91 Nb.upf
Hg 200.59 Hg.upf
Br 79.90 Br.upf
ATOMIC_POSITIONS angstrom
Nb 0.0000 0.0000 0.0000
Hg 0.0000 0.0000 16.1732
Br 0.0000 0.0000 2.4075
Br 0.0000 0.0000 29.9389
CELL_PARAMETERS angstrom
1.6726 0.9657 10.7822
-1.6726 0.9657 10.7822
0.0000 -1.9313 10.7822
! Excess energy over the best structure of this formula in the dataset   0.4392 eV/atom
! Formation energy (no corrections)   -0.10 eV per formula unit

! Nb3HgBr | the Alexandria database | meta-GGA SCAN | single point on PBEsol structure; values from VASP
&SYSTEM
  ibrav = 0, nat = 5, ntyp = 3
/
ATOMIC_SPECIES
Nb 92.91 Nb.upf
Hg 200.59 Hg.upf
Br 79.90 Br.upf
ATOMIC_POSITIONS angstrom
Nb 0.0000 0.0000 2.3534
Nb 0.0000 2.3534 0.0000
Nb 2.3534 0.0000 0.0000
Hg 2.3534 2.3534 2.3534
Br 0.0000 0.0000 0.0000
CELL_PARAMETERS angstrom
4.7068 0.0000 0.0000
0.0000 4.7068 0.0000
0.0000 0.0000 4.7068
! Formation energy (no corrections)   5.63 eV per formula unit

! NbHgBr2 | the Alexandria database | meta-GGA SCAN | single point on PBEsol structure; values from VASP
&SYSTEM
  ibrav = 0, nat = 4, ntyp = 3
/
ATOMIC_SPECIES
Nb 92.91 Nb.upf
Hg 200.59 Hg.upf
Br 79.90 Br.upf
ATOMIC_POSITIONS angstrom
Nb 0.0000 0.0000 0.0000
Hg 3.5447 3.5447 3.5447
Br 1.7724 1.7724 1.7724
Br 5.3171 5.3171 5.3171
CELL_PARAMETERS angstrom
0.0000 3.5447 3.5447
3.5447 0.0000 3.5447
3.5447 3.5447 0.0000
! Excess energy over the best structure of this formula in the dataset   0.6847 eV/atom
! Formation energy (no corrections)   0.88 eV per formula unit

! NbHgBr2 | the Alexandria database | meta-GGA SCAN | single point on PBEsol structure; values from VASP
&SYSTEM
  ibrav = 0, nat = 4, ntyp = 3
/
ATOMIC_SPECIES
Nb 92.91 Nb.upf
Hg 200.59 Hg.upf
Br 79.90 Br.upf
ATOMIC_POSITIONS angstrom
Nb 0.0000 0.0000 0.0000
Hg 0.0000 0.0000 16.0619
Br 0.0000 0.0000 12.5651
Br 0.0000 0.0000 19.5587
CELL_PARAMETERS angstrom
1.6496 0.9524 10.7079
-1.6496 0.9524 10.7079
0.0000 -1.9048 10.7079
! Excess energy over the best structure of this formula in the dataset   0.0000 eV/atom
! Formation energy (no corrections)   -1.86 eV per formula unit

! Ni2HgBr | the Alexandria database | meta-GGA SCAN | single point on PBEsol structure; values from VASP
&SYSTEM
  ibrav = 0, nat = 4, ntyp = 3
/
ATOMIC_SPECIES
Ni 58.69 Ni.upf
Hg 200.59 Hg.upf
Br 79.90 Br.upf
ATOMIC_POSITIONS angstrom
Ni 0.0000 0.0000 0.0000
Ni 1.5693 0.0000 2.7474
Hg 0.0000 1.9763 2.7474
Br 1.5693 1.9763 0.0000
CELL_PARAMETERS angstrom
3.1386 0.0000 0.0000
0.0000 3.9526 0.0000
0.0000 0.0000 5.4948
! Excess energy over the best structure of this formula in the dataset   0.1901 eV/atom
! Formation energy (no corrections)   2.12 eV per formula unit

no.,calculated density (g/cm3),energy (eV/atom),total magnetization (μB per formula unit)
1,5.8,-28.330,0.66
2,8.1,-24.996,0.00
3,7.4,-40.493,0.00
4,7.2,-35.079,0.00
5,8.9,-36.277,1.61
6,8.4,-34.834,3.00
7,7.5,-35.519,0.00
8,9.7,-29.463,1.46